This record from the Alexandria database describes an optimized crystal structure of LiPuMgCd. The functional is PBE-GGA.

* DFT formation energy: 0.098 eV/atom
* E_tot: -4.59 eV/atom
* space-group type: F-43m, No. 216
* D(E_F): 15.3 states/eV/f.u.
* spin magnetization: 6.10 μB per cell

Geometry as extended XYZ:
```
4
Lattice="5.119 0.000 0.000 2.560 4.433 0.000 2.560 1.478 4.180" Properties=species:S:1:pos:R:3 pbc="T T T"
Pu 5.119 2.956 2.090
Cd 7.679 4.433 3.135
Li 2.560 1.478 1.045
Mg 0.000 0.000 0.000
```

=====

This record from the Alexandria database describes an optimized crystal structure of LiPuMg2Cd4. The functional is PBE-GGA.

* DFT formation energy: -0.098 eV/atom
* E_tot: -2.98 eV/atom
* space-group type: R-3m, No. 166
* D(E_F): 16.5 states/eV/f.u.
* spin magnetization: 6.09 μB per cell

Geometry as extended XYZ:
```
8
Lattice="5.005 0.000 0.000 2.503 4.335 0.000 2.503 1.445 8.358" Properties=species:S:1:pos:R:3 pbc="T T T"
Cd 5.005 2.890 7.053
Mg 7.508 4.335 6.309
Cd 5.005 2.890 1.305
Pu 0.000 0.000 0.000
Mg 2.503 1.445 2.050
Cd 7.508 4.335 3.253
Li 5.005 2.890 4.179
Cd 2.503 1.445 5.105
```

=====

This record from the Alexandria database describes an optimized crystal structure of LiMg5Cd2Rh2. The functional is PBE-GGA.

* DFT formation energy: -0.255 eV/atom
* E_tot: -2.90 eV/atom
* space-group type: P4/mbm, No. 127
* D(E_F): 4.1 states/eV/f.u.
* spin magnetization: 0.00 μB per cell

Geometry as extended XYZ:
```
20
Lattice="4.049 0.000 0.000 0.000 9.799 0.000 0.000 0.000 9.799" Properties=species:S:1:pos:R:3 pbc="T T T"
Li 0.000 4.899 4.899
Cd 0.000 8.114 6.585
Mg 2.024 0.000 4.899
Rh 0.000 1.191 6.091
Rh 0.000 6.091 8.607
Cd 0.000 3.214 8.114
Mg 2.024 7.777 9.019
Rh 0.000 8.607 3.708
Cd 0.000 1.685 3.214
Mg 2.024 5.680 6.921
Mg 2.024 9.019 2.022
Cd 0.000 6.585 1.685
Mg 2.024 2.022 0.780
Rh 0.000 3.708 1.191
Mg 2.024 4.119 2.877
Li 0.000 0.000 0.000
Mg 2.024 6.921 4.119
Mg 2.024 2.877 5.680
Mg 2.024 4.899 0.000
Mg 2.024 0.780 7.777
```

=====

This record from the Alexandria database describes an optimized crystal structure of LiMg2CdRu. The functional is PBE-GGA.

* DFT formation energy: 0.289 eV/atom
* E_tot: -2.77 eV/atom
* space-group type: P4/mmm, No. 123
* D(E_F): 1.5 states/eV/f.u.
* spin magnetization: 0.00 μB per cell

Geometry as extended XYZ:
```
5
Lattice="4.946 0.000 0.000 0.000 5.214 0.000 0.000 0.000 4.946" Properties=species:S:1:pos:R:3 pbc="T T T"
Cd 0.000 2.607 0.000
Mg 2.473 0.000 0.000
Ru 0.000 0.000 0.000
Mg 0.000 0.000 2.473
Li 2.473 2.607 2.473
```

=====

This record from the Alexandria database describes an optimized crystal structure of LiMgCdRu. The functional is PBE-GGA.

* DFT formation energy: 0.014 eV/atom
* E_tot: -3.41 eV/atom
* space-group type: F-43m, No. 216
* D(E_F): 2.6 states/eV/f.u.
* spin magnetization: 0.00 μB per cell

Geometry as extended XYZ:
```
4
Lattice="-4.220 -1.471 0.830 -0.850 -4.460 0.222 -0.990 -1.929 3.995" Properties=species:S:1:pos:R:3 pbc="T T T"
Ru 0.000 0.000 0.000
Li -3.030 -3.930 2.524
Mg -1.515 -1.965 1.262
Cd -4.545 -5.895 3.786
```

=====

This record from the Alexandria database describes an optimized crystal structure of Li2Mg2ScCd5. The functional is PBE-GGA.

* DFT formation energy: -0.152 eV/atom
* E_tot: -1.94 eV/atom
* space-group type: P4/mbm, No. 127
* D(E_F): 5.3 states/eV/f.u.
* spin magnetization: 0.00 μB per cell

Geometry as extended XYZ:
```
20
Lattice="-1.915 -2.398 3.069 8.798 -2.862 3.255 0.225 7.657 6.125" Properties=species:S:1:pos:R:3 pbc="T T T"
Sc 4.511 2.398 4.690
Cd -0.845 2.630 4.597
Cd 3.441 -2.630 3.162
Cd 0.866 -1.236 2.644
Mg 1.639 1.956 2.551
Cd 1.762 2.337 5.996
Li 5.645 4.974 7.411
Mg 7.384 2.840 6.829
Cd 6.242 3.633 9.805
Sc 0.000 0.000 0.000
Cd 2.874 -0.168 4.732
Cd 4.233 2.566 7.717
Li 7.836 0.396 5.201
Cd 5.345 0.060 6.452
Cd 7.254 -2.282 5.814
Mg 6.006 -0.577 3.298
Li 3.378 -0.179 1.969
Mg 3.017 5.373 6.082
Li 1.187 4.400 4.179
Cd -0.146 4.679 6.635
```

=====

This record from the Alexandria database describes an optimized crystal structure of LiMgSc2Cd4. The functional is PBE-GGA.

* DFT formation energy: -0.258 eV/atom
* E_tot: -2.74 eV/atom
* space-group type: R-3m, No. 166
* D(E_F): 4.2 states/eV/f.u.
* spin magnetization: 0.00 μB per cell

Geometry as extended XYZ:
```
8
Lattice="4.898 0.000 0.000 2.449 4.242 0.000 2.449 1.414 8.002" Properties=species:S:1:pos:R:3 pbc="T T T"
Li 4.898 2.828 4.001
Sc 2.449 1.414 1.951
Cd 4.898 2.828 1.088
Cd 4.898 2.828 6.914
Cd 7.348 4.242 3.067
Mg 0.000 0.000 0.000
Cd 2.449 1.414 4.935
Sc 7.348 4.242 6.051
```

=====

This record from the Alexandria database describes an optimized crystal structure of Li2Mg2ScCd2. The functional is PBE-GGA.

* DFT formation energy: -0.173 eV/atom
* E_tot: -2.34 eV/atom
* space-group type: C2/m, No. 12
* D(E_F): 3.8 states/eV/f.u.
* spin magnetization: 0.00 μB per cell

Geometry as extended XYZ:
```
7
Lattice="-4.392 -1.943 -0.738 2.100 -0.342 4.403 -2.935 6.906 -0.714" Properties=species:S:1:pos:R:3 pbc="T T T"
Mg -0.878 0.759 3.231
Li -1.334 2.682 0.877
Cd -2.504 5.034 1.647
Li -3.894 1.939 2.075
Cd -2.724 -0.413 1.304
Sc 0.000 0.000 0.000
Mg -4.350 3.862 -0.279
```